Entry 1:
4
Lattice="-2.5343 4.6149 -0.5301 -3.2810 2.8031 -3.0625 -6.4282 -0.2533 2.0765" Properties=species:S:1:pos:R:3 comment="In2TcSb PBE optimized geometry" rho_g_cm3=7.5 formation_energy_uncorrected_ev_per_atom=0.193 n_ef_per_ev_cell=3.017 vol_a3_per_atom=24.9 crystal_system=monoclinic pbc="T T T"
Tc -2.0373 1.4416 -0.4308
Sb -6.6063 4.3534 -1.1669
In -6.1591 6.9202 -3.1351
In -9.3779 5.4499 -1.1341

---

Entry 2:
5
Lattice="-5.0638 -1.1406 -1.3350 0.9567 -5.2091 0.8216 0.4552 3.7588 5.8202" Properties=species:S:1:pos:R:3 comment="RbGaSn2Pb PBE optimized geometry" rho_g_cm3=6.0 n_ef_per_ev_cell=1.690 final_energy_ev_per_cell=-16.19 vol_a3_per_atom=33.4 crystal_system=tetragonal pbc="T T T"
Sn -2.4623 -3.0255 1.1662
Sn -1.1895 0.4346 4.1406
Rb 0.0000 0.0000 0.0000
Ga -0.3208 -2.3126 3.1926
Pb -3.3310 -0.2783 2.1142

---

Entry 3:
6
Lattice="4.4522 0.0000 0.0000 0.0000 4.4522 0.0000 -2.2261 -2.2261 9.7652" Properties=species:S:1:pos:R:3 comment="TlCd2In2Hg PBE optimized geometry" rho_g_cm3=7.4 n_ef_per_ev_cell=3.363 final_energy_ev_per_cell=-9.06 vol_a3_per_atom=32.3 crystal_system=tetragonal pbc="T T T"
Hg 0.0000 0.0000 0.0000
In 0.0000 2.2261 4.8826
In 2.2261 0.0000 4.8826
Tl 2.2261 2.2261 0.0000
Cd 2.2261 2.2261 6.9744
Cd 0.0000 0.0000 2.7907